[1]
Here is an optimized crystal structure of ZrCuS2 from the Open Quantum Materials Database. Energies are from PBE.

POSCAR file:
```
ZrCuS2
1.0
-2.792 2.792 5.370
2.792 -2.792 5.370
2.792 2.792 -5.370
Zr Cu S
2 2 4
Cartesian
0.000 0.000 0.000
0.000 2.792 2.685
2.792 0.000 2.685
0.000 0.000 5.370
1.396 1.555 -1.342
4.028 1.396 1.342
1.396 1.237 4.027
-1.237 1.396 6.712
```

Computed properties:
The value obtained for the calculated total energy is -47.417 eV/cell. The calculation puts the total magnetic moment at 0.00 μB per formula unit.

***

[2]
Here is an optimized crystal structure of Zr3CuS from the Open Quantum Materials Database. Energies are from PBE.

POSCAR file:
```
Zr3CuS
1.0
1.792 -5.755 0.000
1.792 5.755 0.000
0.000 0.000 9.372
Zr Cu S
6 2 2
Cartesian
1.792 4.931 7.029
1.792 1.679 5.318
1.792 1.679 8.741
1.792 -1.679 0.632
1.792 -1.679 4.055
1.792 -4.931 2.343
1.792 2.852 2.343
1.792 -2.852 7.029
0.000 0.000 0.000
0.000 0.000 4.686
```

Computed properties:
The value obtained for the calculated total energy is -74.019 eV/cell. The calculation puts the total magnetic moment at 0.04 μB per formula unit.

***

[3]
Here is an optimized crystal structure of Cu124Sb from the Open Quantum Materials Database. Energies are from PBE.

POSCAR file:
```
Cu124Sb
1.0
0.000 9.021 9.021
9.021 0.000 9.021
9.021 9.021 0.000
Cu Sb
124 1
Cartesian
9.021 5.396 5.396
10.834 7.209 5.396
12.646 9.021 5.396
10.834 5.396 7.209
12.646 7.209 7.209
12.646 5.396 9.021
1.804 1.804 1.804
3.608 3.608 1.806
5.414 5.414 1.806
7.217 7.217 1.804
9.021 9.021 1.803
3.608 1.806 3.608
5.410 3.611 3.611
7.215 5.414 3.608
9.021 7.215 3.604
10.828 9.021 3.604
5.414 1.806 5.414
7.215 3.608 5.414
7.217 1.804 7.217
9.021 3.604 7.215
14.438 9.021 7.215
9.021 1.803 9.021
10.828 3.604 9.021
14.438 7.215 9.021
16.240 9.021 9.021
9.021 7.154 7.154
10.889 9.021 7.154
10.889 7.154 9.021
7.209 7.209 5.396
9.021 9.021 5.387
10.834 10.834 5.396
7.209 5.396 7.209
12.646 10.834 7.209
9.021 5.387 9.021
12.655 9.021 9.021
10.834 5.396 10.834
12.646 7.209 10.834
1.806 3.608 3.608
3.611 5.410 3.611
5.414 7.215 3.608
7.215 9.021 3.604
9.021 10.828 3.604
3.611 3.611 5.410
5.410 5.410 5.410
5.414 3.608 7.215
7.215 3.604 9.021
14.438 10.828 9.021
9.021 3.604 10.828
14.438 9.021 10.828
16.238 10.826 10.826
5.396 9.021 5.396
7.209 10.834 5.396
9.021 12.646 5.396
1.806 5.414 5.414
3.608 7.215 5.414
7.154 9.021 7.154
9.021 10.889 7.154
5.396 7.209 7.209
10.834 12.646 7.209
3.608 5.414 7.215
5.396 5.396 9.021
7.154 7.154 9.021
10.889 10.889 9.021
12.646 12.646 9.021
14.435 12.629 10.827
7.209 5.396 10.834
12.646 10.834 10.834
9.021 7.154 10.889
10.889 9.021 10.889
14.435 10.827 12.629
16.236 12.629 12.629
9.021 5.396 12.646
10.834 7.209 12.646
12.646 9.021 12.646
1.804 7.217 7.217
3.604 9.021 7.215
9.021 14.438 7.215
3.604 7.215 9.021
10.828 14.438 9.021
12.629 14.435 10.827
12.633 12.633 12.633
14.431 14.431 12.633
9.021 7.215 14.438
10.828 9.021 14.438
12.629 10.827 14.435
14.431 12.633 14.431
16.236 14.435 14.435
5.396 10.834 7.209
7.209 12.646 7.209
5.387 9.021 9.021
9.021 12.655 9.021
5.396 7.209 10.834
10.834 12.646 10.834
7.209 7.209 12.646
9.021 9.021 12.655
10.834 10.834 12.646
7.154 10.889 9.021
7.154 9.021 10.889
9.021 10.889 10.889
1.803 9.021 9.021
3.604 10.828 9.021
7.215 14.438 9.021
9.021 16.240 9.021
3.604 9.021 10.828
9.021 14.438 10.828
10.826 16.238 10.826
10.827 14.435 12.629
12.629 16.236 12.629
7.215 9.021 14.438
9.021 10.828 14.438
10.827 12.629 14.435
12.633 14.431 14.431
14.435 16.236 14.435
9.021 9.021 16.240
10.826 10.826 16.238
12.629 12.629 16.236
14.435 14.435 16.236
16.238 16.238 16.238
5.396 12.646 9.021
5.396 10.834 10.834
7.209 12.646 10.834
5.396 9.021 12.646
7.209 10.834 12.646
9.021 12.646 12.646
9.021 9.021 9.021
```

Computed properties:
The value obtained for the calculated total energy is -464.220 eV/cell.

***

[4]
Here is an optimized crystal structure of Cu10Sb from the Open Quantum Materials Database. Energies are from PBE.

POSCAR file:
```
Cu10Sb
1.0
3.999 -1.792 0.000
3.999 1.792 0.000
-0.094 0.000 31.456
Cu Sb
20 2
Cartesian
0.359 0.000 8.892
0.354 0.000 16.925
1.142 0.000 11.338
1.158 0.000 19.336
1.953 0.000 13.732
1.956 0.000 21.742
2.749 0.000 16.130
2.812 0.000 8.059
3.549 0.000 10.525
3.553 0.000 18.518
4.350 0.000 12.938
4.354 0.000 20.930
5.091 0.000 23.397
5.154 0.000 15.326
5.947 0.000 9.713
5.950 0.000 17.724
6.745 0.000 12.120
6.760 0.000 20.117
7.549 0.000 14.530
7.543 0.000 22.564
2.686 0.000 24.469
5.217 0.000 6.987
```

Computed properties:
The value obtained for the calculated total energy is -81.783 eV/cell.